## CaH3Rh (PBE)

Data for a geometry-optimized CaH3Rh structure.

Results
Calculated density = 4.986 g/cm3
E = -4.479 eV/atom
Density of states at the Fermi level = 0.95 states/eV per cell

```
data_CaH3Rh
_chemical_formula_sum 'Ca1 H3 Rh1'
_cell_length_a 3.6500
_cell_length_b 3.6500
_cell_length_c 3.6500
_cell_angle_alpha 90.00
_cell_angle_beta 90.00
_cell_angle_gamma 90.00
_symmetry_space_group_name_H-M 'P 1'
_symmetry_Int_Tables_number 1
_symmetry_space_group_name_Hall 'P 1'
loop_
_atom_site_label
_atom_site_type_symbol
_atom_site_fract_x
_atom_site_fract_y
_atom_site_fract_z
Ca1 Ca 0.0000 0.0000 0.0000
H1 H 0.0000 0.5000 0.5000
H2 H 0.5000 0.0000 0.5000
H3 H 0.5000 0.5000 0.0000
Rh1 Rh 0.5000 0.5000 0.5000
```

## Ca4HRh2 (PBE)

Data for a geometry-optimized Ca4HRh2 structure.

Results
Calculated density = 3.966 g/cm3
E = -4.017 eV/atom
Density of states at the Fermi level = 2.70 states/eV per cell

```
data_Ca4HRh2
_chemical_formula_sum 'Ca4 H1 Rh2'
_cell_length_a 8.2880
_cell_length_b 8.2880
_cell_length_c 8.2880
_cell_angle_alpha 148.64
_cell_angle_beta 148.64
_cell_angle_gamma 44.94
_symmetry_space_group_name_H-M 'P 1'
_symmetry_Int_Tables_number 1
_symmetry_space_group_name_Hall 'P 1'
loop_
_atom_site_label
_atom_site_type_symbol
_atom_site_fract_x
_atom_site_fract_y
_atom_site_fract_z
Ca1 Ca 0.0000 0.5000 0.5000
Ca2 Ca 0.1836 0.1836 0.0000
Ca3 Ca 0.5000 0.0000 0.5000
Ca4 Ca 0.8164 0.8164 0.0000
H1 H 0.0000 0.0000 0.0000
Rh1 Rh 0.3714 0.3714 0.0000
Rh2 Rh 0.6286 0.6286 0.0000
```

## Ca3H12Rh5 (PBE)

Data for a geometry-optimized Ca3H12Rh5 structure.

Results
Calculated density = 5.539 g/cm3
E = -4.463 eV/atom
Density of states at the Fermi level = 19.03 states/eV per cell

```
data_Ca3H12Rh5
_chemical_formula_sum 'Ca12 H48 Rh20'
_cell_length_a 10.0255
_cell_length_b 10.0255
_cell_length_c 10.0255
_cell_angle_alpha 109.47
_cell_angle_beta 109.47
_cell_angle_gamma 109.47
_symmetry_space_group_name_H-M 'P 1'
_symmetry_Int_Tables_number 1
_symmetry_space_group_name_Hall 'P 1'
loop_
_atom_site_label
_atom_site_type_symbol
_atom_site_fract_x
_atom_site_fract_y
_atom_site_fract_z
Ca1 Ca 0.1250 0.2500 0.3750
Ca2 Ca 0.1250 0.3750 0.7500
Ca3 Ca 0.2500 0.3750 0.1250
Ca4 Ca 0.2500 0.8750 0.6250
Ca5 Ca 0.3750 0.1250 0.2500
Ca6 Ca 0.3750 0.7500 0.1250
Ca7 Ca 0.6250 0.2500 0.8750
Ca8 Ca 0.6250 0.8750 0.7500
Ca9 Ca 0.7500 0.1250 0.3750
Ca10 Ca 0.7500 0.6250 0.8750
Ca11 Ca 0.8750 0.6250 0.2500
Ca12 Ca 0.8750 0.7500 0.6250
H1 H 0.0142 0.1880 0.1017
H2 H 0.0142 0.3263 0.9125
H3 H 0.0863 0.6880 0.6737
H4 H 0.0863 0.8983 0.4125
H5 H 0.0875 0.6017 0.4137
H6 H 0.0875 0.9858 0.6737
H7 H 0.1017 0.0142 0.1880
H8 H 0.1017 0.5875 0.9137
H9 H 0.1737 0.1880 0.5863
H10 H 0.1737 0.4858 0.5875
H11 H 0.1880 0.1017 0.0142
H12 H 0.1880 0.5863 0.1737
H13 H 0.3120 0.3263 0.9137
H14 H 0.3120 0.4858 0.3983
H15 H 0.3263 0.9125 0.0142
H16 H 0.3263 0.9137 0.3120
H17 H 0.3983 0.3120 0.4858
H18 H 0.3983 0.5863 0.9125
H19 H 0.4125 0.0863 0.8983
H20 H 0.4125 0.8263 0.5142
H21 H 0.4137 0.0875 0.6017
H22 H 0.4137 0.8263 0.8120
H23 H 0.4858 0.3983 0.3120
H24 H 0.4858 0.5875 0.1737
H25 H 0.5142 0.4125 0.8263
H26 H 0.5142 0.6017 0.6880
H27 H 0.5863 0.1737 0.1880
H28 H 0.5863 0.9125 0.3983
H29 H 0.5875 0.1737 0.4858
H30 H 0.5875 0.9137 0.1017
H31 H 0.6017 0.4137 0.0875
H32 H 0.6017 0.6880 0.5142
H33 H 0.6737 0.0863 0.6880
H34 H 0.6737 0.0875 0.9858
H35 H 0.6880 0.5142 0.6017
H36 H 0.6880 0.6737 0.0863
H37 H 0.8120 0.4137 0.8263
H38 H 0.8120 0.8983 0.9858
H39 H 0.8263 0.5142 0.4125
H40 H 0.8263 0.8120 0.4137
H41 H 0.8983 0.4125 0.0863
H42 H 0.8983 0.9858 0.8120
H43 H 0.9125 0.0142 0.3263
H44 H 0.9125 0.3983 0.5863
H45 H 0.9137 0.1017 0.5875
H46 H 0.9137 0.3120 0.3263
H47 H 0.9858 0.6737 0.0875
H48 H 0.9858 0.8120 0.8983
Rh1 Rh 0.0000 0.0000 0.0000
Rh2 Rh 0.0000 0.0000 0.5000
Rh3 Rh 0.0000 0.5000 0.0000
Rh4 Rh 0.0000 0.5000 0.5000
Rh5 Rh 0.1250 0.7500 0.8750
Rh6 Rh 0.1250 0.8750 0.2500
Rh7 Rh 0.2500 0.1250 0.8750
Rh8 Rh 0.2500 0.6250 0.3750
Rh9 Rh 0.3750 0.2500 0.6250
Rh10 Rh 0.3750 0.6250 0.7500
Rh11 Rh 0.5000 0.0000 0.0000
Rh12 Rh 0.5000 0.0000 0.5000
Rh13 Rh 0.5000 0.5000 0.0000
Rh14 Rh 0.5000 0.5000 0.5000
Rh15 Rh 0.6250 0.3750 0.2500
Rh16 Rh 0.6250 0.7500 0.3750
Rh17 Rh 0.7500 0.3750 0.6250
Rh18 Rh 0.7500 0.8750 0.1250
Rh19 Rh 0.8750 0.1250 0.7500
Rh20 Rh 0.8750 0.2500 0.1250
```

## CaH3Rh (PBE)

Data for a geometry-optimized CaH3Rh structure.

Results
Calculated density = 4.687 g/cm3
E = -3.932 eV/atom
Density of states at the Fermi level = 1.09 states/eV per cell

```
data_CaH3Rh
_chemical_formula_sum 'Ca1 H3 Rh1'
_cell_length_a 3.2587
_cell_length_b 3.2587
_cell_length_c 4.8708
_cell_angle_alpha 90.00
_cell_angle_beta 90.00
_cell_angle_gamma 90.00
_symmetry_space_group_name_H-M 'P 1'
_symmetry_Int_Tables_number 1
_symmetry_space_group_name_Hall 'P 1'
loop_
_atom_site_label
_atom_site_type_symbol
_atom_site_fract_x
_atom_site_fract_y
_atom_site_fract_z
Ca1 Ca 0.0000 0.0000 0.0000
H1 H 0.0000 0.0000 0.5485
H2 H 0.0000 0.5000 0.3146
H3 H 0.5000 0.0000 0.3146
Rh1 Rh 0.5000 0.5000 0.4615
```

## Ca3H4Rh (PBE)

Data for a geometry-optimized Ca3H4Rh structure.

Results
Calculated density = 3.139 g/cm3
E = -3.723 eV/atom
Density of states at the Fermi level = 5.05 states/eV per cell

```
data_Ca3H4Rh
_chemical_formula_sum 'Ca6 H8 Rh2'
_cell_length_a 7.0838
_cell_length_b 6.4861
_cell_length_c 5.2314
_cell_angle_alpha 90.00
_cell_angle_beta 90.00
_cell_angle_gamma 90.00
_symmetry_space_group_name_H-M 'P 1'
_symmetry_Int_Tables_number 1
_symmetry_space_group_name_Hall 'P 1'
loop_
_atom_site_label
_atom_site_type_symbol
_atom_site_fract_x
_atom_site_fract_y
_atom_site_fract_z
Ca1 Ca 0.0000 0.0961 0.0000
Ca2 Ca 0.2449 0.6614 0.0044
Ca3 Ca 0.2551 0.3386 0.5044
Ca4 Ca 0.5000 0.9039 0.5000
Ca5 Ca 0.7449 0.3386 0.5044
Ca6 Ca 0.7551 0.6614 0.0044
H1 H 0.0000 0.0768 0.5290
H2 H 0.0000 0.7994 0.1836
H3 H 0.2278 0.7058 0.5427
H4 H 0.2722 0.2942 0.0427
H5 H 0.5000 0.2006 0.6836
H6 H 0.5000 0.9232 0.0290
H7 H 0.7278 0.2942 0.0427
H8 H 0.7722 0.7058 0.5427
Rh1 Rh 0.0000 0.8027 0.5154
Rh2 Rh 0.5000 0.1973 0.0154
```

## CaH2Rh (PBE)

Data for a geometry-optimized CaH2Rh structure.

Results
Calculated density = 5.239 g/cm3
E = -4.581 eV/atom
Polymorph energy (0 for the lowest one) = 0 meV per atom
Density of states at the Fermi level = 1.45 states/eV per cell

```
data_CaH2Rh
_chemical_formula_sum 'Ca1 H2 Rh1'
_cell_length_a 3.6402
_cell_length_b 3.6402
_cell_length_c 3.4682
_cell_angle_alpha 90.00
_cell_angle_beta 90.00
_cell_angle_gamma 90.00
_symmetry_space_group_name_H-M 'P 1'
_symmetry_Int_Tables_number 1
_symmetry_space_group_name_Hall 'P 1'
loop_
_atom_site_label
_atom_site_type_symbol
_atom_site_fract_x
_atom_site_fract_y
_atom_site_fract_z
Ca1 Ca 0.0000 0.0000 0.0000
H1 H 0.0000 0.5000 0.5000
H2 H 0.5000 0.0000 0.5000
Rh1 Rh 0.5000 0.5000 0.5000
```

## CaH3Rh (PBE)

Data for a geometry-optimized CaH3Rh structure.

Results
Calculated density = 4.996 g/cm3
E = -4.007 eV/atom
Density of states at the Fermi level = 2.34 states/eV per cell

```
data_CaH3Rh
_chemical_formula_sum 'Ca2 H6 Rh2'
_cell_length_a 3.5735
_cell_length_b 3.5735
_cell_length_c 8.7769
_cell_angle_alpha 90.00
_cell_angle_beta 90.00
_cell_angle_gamma 120.00
_symmetry_space_group_name_H-M 'P 1'
_symmetry_Int_Tables_number 1
_symmetry_space_group_name_Hall 'P 1'
loop_
_atom_site_label
_atom_site_type_symbol
_atom_site_fract_x
_atom_site_fract_y
_atom_site_fract_z
Ca1 Ca 0.3333 0.6667 0.2500
Ca2 Ca 0.6667 0.3333 0.7500
H1 H 0.0000 0.0000 0.2500
H2 H 0.0000 0.0000 0.7500
H3 H 0.3333 0.6667 0.5456
H4 H 0.3333 0.6667 0.9544
H5 H 0.6667 0.3333 0.0456
H6 H 0.6667 0.3333 0.4544
Rh1 Rh 0.0000 0.0000 0.0000
Rh2 Rh 0.0000 0.0000 0.5000
```

## Ca3HRh (PBE)

Data for a geometry-optimized Ca3HRh structure.

Results
Calculated density = 3.510 g/cm3
E = -3.549 eV/atom
Polymorph energy (0 for the lowest one) = 44 meV per atom
Density of states at the Fermi level = 3.13 states/eV per cell

```
data_Ca3HRh
_chemical_formula_sum 'Ca3 H1 Rh1'
_cell_length_a 4.7333
_cell_length_b 4.7333
_cell_length_c 4.7333
_cell_angle_alpha 90.00
_cell_angle_beta 90.00
_cell_angle_gamma 90.00
_symmetry_space_group_name_H-M 'P 1'
_symmetry_Int_Tables_number 1
_symmetry_space_group_name_Hall 'P 1'
loop_
_atom_site_label
_atom_site_type_symbol
_atom_site_fract_x
_atom_site_fract_y
_atom_site_fract_z
Ca1 Ca 0.0000 0.0000 0.5000
Ca2 Ca 0.0000 0.5000 0.0000
Ca3 Ca 0.5000 0.0000 0.0000
H1 H 0.0000 0.0000 0.0000
Rh1 Rh 0.5000 0.5000 0.5000
```